First-principles (PBE) data for an optimized crystal structure of ZnCdAgSb, as listed in Alexandria via LeMat-Bulk.

Unit cell a=4.9497 b=4.9497 c=4.9497 alpha=60.00 beta=60.00 gamma=60.00
Last column: nearest neighbours and their distance in Å.
Fractional coordinates of all 4 atoms:
Zn: 0.0000 0.0000 0.0000  4 Cd 3.03, 4 Sb 3.03
Cd: 0.7500 0.7500 0.7500  4 Ag 3.03, 4 Zn 3.03
Ag: 0.5000 0.5000 0.5000  4 Cd 3.03, 4 Sb 3.03
Sb: 0.2500 0.2500 0.2500  4 Zn 3.03, 4 Ag 3.03

Output
DOS at the Fermi energy ... 1.55 states/eV/cell
Energy relative to the elements, uncorrected ... 14.7 kJ per mole of atoms
Mass density ... 7.891 g/cm³
Crystal system ... cubic